No. 1
A relaxed structure of Mg2HPdRh, computed with PBE.

For the density of states at the Fermi level, the calculation gives 0.346 states/eV/atom. Its magnetization is 0.0 μB/f.u. As for the crystal system: tetragonal. The symmetry is P4/mmm (123). For the volume, the calculation gives 13.2 A^3/atom.

```
data_Mg2HPdRh
_cell_length_a 4.382
_cell_length_b 4.382
_cell_length_c 3.445
_cell_angle_alpha 90.00
_cell_angle_beta 90.00
_cell_angle_gamma 90.00
_symmetry_space_group_name_H-M 'P 1'
_symmetry_Int_Tables_number 1
loop_
_symmetry_equiv_pos_as_xyz
'x,y,z'
loop_
_atom_site_label
_atom_site_type_symbol
_atom_site_fract_x
_atom_site_fract_y
_atom_site_fract_z
Mg1 Mg 0.000 0.500 0.000
Mg2 Mg 0.500 0.000 0.000
H1 H 0.000 0.000 0.000
Pd1 Pd 0.000 0.000 0.500
Rh1 Rh 0.500 0.500 0.500
```

***

No. 2
A relaxed structure of Mg2HPdRh, computed with PBE.

For the density of states at the Fermi level, the calculation gives 0.369 states/eV/atom. Its magnetization is 0.0 μB/f.u. As for the crystal system: tetragonal. The symmetry is P4/mmm (123). For the volume, the calculation gives 13.2 A^3/atom.

```
data_Mg2HPdRh
_cell_length_a 4.390
_cell_length_b 4.390
_cell_length_c 3.431
_cell_angle_alpha 90.00
_cell_angle_beta 90.00
_cell_angle_gamma 90.00
_symmetry_space_group_name_H-M 'P 1'
_symmetry_Int_Tables_number 1
loop_
_symmetry_equiv_pos_as_xyz
'x,y,z'
loop_
_atom_site_label
_atom_site_type_symbol
_atom_site_fract_x
_atom_site_fract_y
_atom_site_fract_z
Mg1 Mg 0.000 0.500 0.000
Mg2 Mg 0.500 0.000 0.000
H1 H 0.000 0.000 0.000
Pd1 Pd 0.500 0.500 0.500
Rh1 Rh 0.000 0.000 0.500
```

***

No. 3
A relaxed structure of MgHPd2Rh, computed with PBE.

For the density of states at the Fermi level, the calculation gives 0.927 states/eV/atom. Its magnetization is 0.0 μB/f.u. As for the crystal system: tetragonal. The symmetry is P4/mmm (123). For the volume, the calculation gives 12.7 A^3/atom.

```
data_MgHPd2Rh
_cell_length_a 3.905
_cell_length_b 3.905
_cell_length_c 4.176
_cell_angle_alpha 90.00
_cell_angle_beta 90.00
_cell_angle_gamma 90.00
_symmetry_space_group_name_H-M 'P 1'
_symmetry_Int_Tables_number 1
loop_
_symmetry_equiv_pos_as_xyz
'x,y,z'
loop_
_atom_site_label
_atom_site_type_symbol
_atom_site_fract_x
_atom_site_fract_y
_atom_site_fract_z
Mg1 Mg 0.000 0.000 0.000
H1 H 0.000 0.000 0.500
Pd1 Pd 0.000 0.500 0.500
Pd2 Pd 0.500 0.000 0.500
Rh1 Rh 0.500 0.500 0.000
```

***

No. 4
A relaxed structure of MgH4Pd2Rh, computed with PBE.

For the density of states at the Fermi level, the calculation gives 0.119 states/eV/atom. Its magnetization is 0.0 μB/f.u. As for the crystal system: monoclinic. The symmetry is Cm (8). For the volume, the calculation gives 9.7 A^3/atom.

```
data_MgH4Pd2Rh
_cell_length_a 4.139
_cell_length_b 4.139
_cell_length_c 5.378
_cell_angle_alpha 112.47
_cell_angle_beta 112.47
_cell_angle_gamma 89.65
_symmetry_space_group_name_H-M 'P 1'
_symmetry_Int_Tables_number 1
loop_
_symmetry_equiv_pos_as_xyz
'x,y,z'
loop_
_atom_site_label
_atom_site_type_symbol
_atom_site_fract_x
_atom_site_fract_y
_atom_site_fract_z
Mg1 Mg 0.000 0.000 0.000
H1 H 0.156 0.563 0.725
H2 H 0.430 0.430 0.274
H3 H 0.563 0.156 0.725
H4 H 0.838 0.838 0.272
Pd1 Pd 0.249 0.750 0.501
Pd2 Pd 0.750 0.249 0.501
Rh1 Rh 0.499 0.499 0.000
```

***

Number 1: calculated total energy -4.251 eV/atom. Number 2: calculated total energy -4.356 eV/atom. Number 3: calculated total energy -4.752 eV/atom. Number 4: calculated total energy -4.332 eV/atom.